FeNiP: optimized geometry, PBE.

Lattice parameters (Å, degrees): 6.5240 6.5240 2.7293 90.00 90.00 120.00
Closest atoms and distances in Å follow each position.
Atoms (fractional coordinates):
Fe  0.0000  0.0000  0.0000  6 P 2.34, 3 Ni 2.45
Fe  0.3333  0.6667  0.5000  3 P 2.33, 6 Ni 2.46
Fe  0.6667  0.3333  0.5000  3 P 2.33, 6 Ni 2.46
Ni  0.0000  0.6243  0.0000  5 Fe 2.45-2.46, 6 P 2.57-2.61, 2 Ni 2.73
Ni  0.3757  0.3757  0.0000  5 Fe 2.45-2.46, 6 P 2.57-2.61, 2 Ni 2.73
Ni  0.6243  0.0000  0.0000  5 Fe 2.45-2.46, 6 P 2.57-2.61, 2 Ni 2.73
P  0.0000  0.2905  0.5000  4 Fe 2.33-2.34, 2 Ni 2.57
P  0.2905  0.0000  0.5000  4 Fe 2.33-2.34, 2 Ni 2.57
P  0.7095  0.7095  0.5000  4 Fe 2.33-2.34, 2 Ni 2.57

Properties
space group = P-62m, No. 189
DOS at the Fermi energy = 0.8544 states/eV/atom
final energy = -6.6875 eV/atom
formation energy = -0.41 eV/f.u.
calculated volume = 11.2 A^3/atom

ZrTa4Pt: optimized geometry, PBE.

Lattice parameters (Å, degrees): 5.4617 5.4617 5.4617 60.00 60.00 60.00
Closest atoms and distances in Å follow each position.
Atoms (fractional coordinates):
Zr  0.0000  0.0000  0.0000  12 Ta 3.20, 4 Pt 3.34
Ta  0.3739  0.3739  0.3739  6 Ta 2.71-2.75
Ta  0.3739  0.3739  0.8783  6 Ta 2.71-2.75
Ta  0.3739  0.8783  0.3739  6 Ta 2.71-2.75
Ta  0.8783  0.3739  0.3739  6 Ta 2.71-2.75
Pt  0.7500  0.7500  0.7500  12 Ta 3.20, 4 Zr 3.34

Properties
space group = F-43m, No. 216
DOS at the Fermi energy = 1.1303 states/eV/atom
final energy = -10.2590 eV/atom
formation energy = 0.45 eV/f.u.
calculated volume = 19.2 A^3/atom

Er3Hg5Pb: optimized geometry, PBE.

Lattice parameters (Å, degrees): 8.9784 8.9784 6.4048 90.00 90.00 120.00
Closest atoms and distances in Å follow each position.
Atoms (fractional coordinates):
Er  0.0000  0.3396  0.2500  5 Hg 2.93-3.20
Er  0.0000  0.6604  0.7500  5 Hg 2.93-3.20
Er  0.3396  0.0000  0.2500  5 Hg 2.93-3.20
Er  0.3396  0.3396  0.7500  5 Hg 2.93-3.20
Er  0.6604  0.0000  0.7500  5 Hg 2.93-3.20
Er  0.6604  0.6604  0.2500  5 Hg 2.93-3.20
Hg  0.0000  0.3344  0.7500  5 Er 2.93-3.20
Hg  0.0000  0.6656  0.2500  5 Er 2.93-3.20
Hg  0.3333  0.6667  0.0000  8 Hg 3.20-3.39, 6 Er 3.37
Hg  0.3333  0.6667  0.5000  8 Hg 3.20-3.39, 6 Er 3.37
Hg  0.3344  0.0000  0.7500  5 Er 2.93-3.20
Hg  0.3344  0.3344  0.2500  5 Er 2.93-3.20
Hg  0.6656  0.0000  0.2500  5 Er 2.93-3.20
Hg  0.6656  0.6656  0.7500  5 Er 2.93-3.20
Hg  0.6667  0.3333  0.0000  8 Hg 3.20-3.39, 6 Er 3.37
Hg  0.6667  0.3333  0.5000  8 Hg 3.20-3.39, 6 Er 3.37
Pb  0.0000  0.0000  0.0000  2 Pb 3.20, 6 Hg 3.40, 6 Er 3.44
Pb  0.0000  0.0000  0.5000  2 Pb 3.20, 6 Hg 3.40, 6 Er 3.44

Properties
space group = P6_3/mcm, No. 193
DOS at the Fermi energy = 0.5809 states/eV/atom
final energy = -2.4605 eV/atom
formation energy = -3.24 eV/f.u.
calculated volume = 24.8 A^3/atom

Cs2AgH: optimized geometry, PBE.

Lattice parameters (Å, degrees): 4.0826 4.0826 8.7197 90.00 90.00 90.00
Closest atoms and distances in Å follow each position.
Atoms (fractional coordinates):
Cs  0.0000  0.0000  0.2178  4 H 3.46, 4 Ag 3.79, 1 Cs 3.80
Cs  0.0000  0.0000  0.7822  4 H 3.46, 4 Ag 3.79, 1 Cs 3.80
Ag  0.5000  0.5000  0.5000  8 Cs 3.79, 4 Ag 4.08
H  0.5000  0.5000  0.0000  8 Cs 3.46

Properties
space group = P4/mmm, No. 123
DOS at the Fermi energy = 0.0131 states/eV/atom
final energy = -1.9737 eV/atom
calculated volume = 36.3 A^3/atom

Ba6NiPd2: optimized geometry, PBE.

Lattice parameters (Å, degrees): 10.2290 10.2290 9.1646 101.93 101.93 26.08
Closest atoms and distances in Å follow each position.
Atoms (fractional coordinates):
Ba  0.0028  0.0028  0.2331  2 Ni 3.14, 1 Pd 3.19
Ba  0.3300  0.3300  0.4261  3 Pd 3.19
Ba  0.3400  0.3400  0.9104  1 Ni 3.12, 2 Pd 3.19
Ba  0.6600  0.6600  0.0896  1 Ni 3.12, 2 Pd 3.19
Ba  0.6700  0.6700  0.5739  3 Pd 3.19
Ba  0.9972  0.9972  0.7669  2 Ni 3.14, 1 Pd 3.19
Ni  0.5000  0.5000  0.0000  6 Ba 3.12-3.14
Pd  0.1663  0.1663  0.3326  6 Ba 3.19
Pd  0.8337  0.8337  0.6674  6 Ba 3.19

Properties
space group = C2/m, No. 12
DOS at the Fermi energy = 0.3737 states/eV/atom
final energy = -3.3485 eV/atom
formation energy = -2.43 eV/f.u.
calculated volume = 45.8 A^3/atom

In4As3Se: optimized geometry, PBE.

Lattice parameters (Å, degrees): 7.6948 7.6948 7.6948 131.79 131.79 70.56
Closest atoms and distances in Å follow each position.
Atoms (fractional coordinates):
In  0.1151  0.6287  0.0000  3 As 2.70, 1 Se 2.79
In  0.3713  0.3713  0.4864  3 As 2.70, 1 Se 2.79
In  0.6287  0.1151  0.0000  3 As 2.70, 1 Se 2.79
In  0.8849  0.8849  0.5136  3 As 2.70, 1 Se 2.79
As  0.0000  0.0000  0.0000  4 In 2.70
As  0.2500  0.7500  0.5000  4 In 2.70
As  0.7500  0.2500  0.5000  4 In 2.70
Se  0.5000  0.5000  0.0000  4 In 2.79

Properties
space group = I-42m, No. 121
DOS at the Fermi energy = 0.3018 states/eV/atom
final energy = -3.7931 eV/atom
E_form (uncorrected) = -0.245 eV per atom
calculated volume = 31.0 A^3/atom

Pr5Tm3: optimized geometry, PBE.

Lattice parameters (Å, degrees): 7.3530 8.6391 8.6391 85.10 90.00 90.00
Closest atoms and distances in Å follow each position.
Atoms (fractional coordinates):
Pr  0.0000  0.0000  0.0000  8 Pr 3.56-3.73, 4 Tm 3.65-3.68
Pr  0.0000  0.4104  0.9135  7 Pr 3.56-3.70, 5 Tm 3.61-3.68
Pr  0.0000  0.9135  0.4104  7 Pr 3.56-3.70, 5 Tm 3.61-3.68
Pr  0.2516  0.1655  0.6619  5 Tm 3.58-3.68, 7 Pr 3.58-3.70
Pr  0.2516  0.6619  0.1655  5 Tm 3.58-3.68, 7 Pr 3.58-3.70
Pr  0.2534  0.7461  0.7461  8 Pr 3.63-3.73, 4 Tm 3.67-3.73
Pr  0.5000  0.4953  0.4953  6 Pr 3.58-3.67, 6 Tm 3.65-3.69
Pr  0.7466  0.7461  0.7461  8 Pr 3.63-3.73, 4 Tm 3.67-3.73
Pr  0.7484  0.1655  0.6619  5 Tm 3.58-3.68, 7 Pr 3.58-3.70
Pr  0.7484  0.6619  0.1655  5 Tm 3.58-3.68, 7 Pr 3.58-3.70
Tm  0.0000  0.4920  0.4920  10 Pr 3.58-3.73, 2 Tm 3.64
Tm  0.2536  0.2468  0.2468  6 Tm 3.53-3.73, 6 Pr 3.59-3.65
Tm  0.5000  0.0004  0.0004  4 Tm 3.51-3.62, 8 Pr 3.63-3.71
Tm  0.5000  0.4053  0.9205  3 Tm 3.51-3.53, 9 Pr 3.66-3.69
Tm  0.5000  0.9205  0.4053  3 Tm 3.51-3.53, 9 Pr 3.66-3.69
Tm  0.7464  0.2468  0.2468  6 Tm 3.53-3.73, 6 Pr 3.59-3.65

Properties
space group = Amm2, No. 38
DOS at the Fermi energy = 1.7355 states/eV/atom
final energy = -4.6340 eV/atom
formation energy = 0.24 eV/f.u.
calculated volume = 34.2 A^3/atom

CrNiBr2: optimized geometry, PBE.

Lattice parameters (Å, degrees): 7.0726 7.0726 7.0726 131.87 131.87 70.43
Closest atoms and distances in Å follow each position.
Atoms (fractional coordinates):
Cr  0.0000  0.0000  0.0000  4 Br 2.60
Cr  0.7500  0.2500  0.5000  4 Br 2.60
Ni  0.2500  0.7500  0.5000  4 Br 2.41
Ni  0.5000  0.5000  0.0000  4 Br 2.41
Br  0.1542  0.6250  0.0292  2 Ni 2.41, 2 Cr 2.60
Br  0.3750  0.4042  0.5292  2 Ni 2.41, 2 Cr 2.60
Br  0.5958  0.1250  0.9708  2 Ni 2.41, 2 Cr 2.60
Br  0.8750  0.8458  0.4708  2 Ni 2.41, 2 Cr 2.60

Properties
space group = I-42d, No. 122
DOS at the Fermi energy = 0.3558 states/eV/atom
final energy = -4.5798 eV/atom
E_form (uncorrected) = 0.108 eV per atom
calculated volume = 24.0 A^3/atom

Rb3Pr2NdTe6: optimized geometry, PBE.

Lattice parameters (Å, degrees): 8.0891 8.0891 8.9920 98.62 98.62 120.00
Closest atoms and distances in Å follow each position.
Atoms (fractional coordinates):
Rb  0.0000  0.0000  0.0000  6 Te 3.69-3.70
Rb  0.3329  0.6671  0.0000  6 Te 3.69-3.70
Rb  0.6671  0.3329  0.0000  6 Te 3.69-3.70
Pr  0.1666  0.8334  0.5000  6 Te 3.23
Pr  0.8334  0.1666  0.5000  6 Te 3.23
Nd  0.5000  0.5000  0.5000  6 Te 3.21
Te  0.0996  0.4314  0.2940  1 Nd 3.21, 2 Pr 3.23
Te  0.2371  0.2371  0.7061  1 Nd 3.21, 2 Pr 3.23
Te  0.4314  0.0996  0.2940  1 Nd 3.21, 2 Pr 3.23
Te  0.5686  0.9004  0.7060  1 Nd 3.21, 2 Pr 3.23
Te  0.7629  0.7629  0.2939  1 Nd 3.21, 2 Pr 3.23
Te  0.9004  0.5686  0.7060  1 Nd 3.21, 2 Pr 3.23

Properties
space group = C2/m, No. 12
final energy = -4.4175 eV/atom
E_form (uncorrected) = -1.411 eV per atom
calculated volume = 40.5 A^3/atom

SrLa2Eu: optimized geometry, PBE.

Lattice parameters (Å, degrees): 3.8345 3.8345 11.2395 90.00 90.00 90.00
Closest atoms and distances in Å follow each position.
Atoms (fractional coordinates):
Sr  0.0000  0.0000  0.0000  4 Sr 3.83, 8 La 4.04
La  0.5000  0.5000  0.2668  4 Eu 3.77, 4 La 3.83, 4 Sr 4.04
La  0.5000  0.5000  0.7332  4 Eu 3.77, 4 La 3.83, 4 Sr 4.04
Eu  0.0000  0.0000  0.5000  8 La 3.77, 4 Eu 3.83

Properties
space group = P4/mmm, No. 123
DOS at the Fermi energy = 1.5006 states/eV/atom
final energy = -5.3286 eV/atom
formation energy = 0.50 eV/f.u.
calculated volume = 41.3 A^3/atom

Ac2HoO4: optimized geometry, PBE.

Lattice parameters (Å, degrees): 7.2767 7.2767 7.2767 145.07 145.07 50.23
Closest atoms and distances in Å follow each position.
Atoms (fractional coordinates):
Ac  0.1503  0.1503  0.0000  1 O 2.31
Ac  0.8497  0.8497  0.0000  1 O 2.31
Ho  0.5000  0.5000  0.0000  6 O 2.18-2.29
O  0.0000  0.5000  0.5000  2 Ho 2.18
O  0.3259  0.3259  0.0000  1 Ho 2.29, 1 Ac 2.31
O  0.5000  0.0000  0.5000  2 Ho 2.18
O  0.6741  0.6741  0.0000  1 Ho 2.29, 1 Ac 2.31

Properties
space group = I4/mmm, No. 139
DOS at the Fermi energy = 0.1319 states/eV/atom
final energy = -7.6968 eV/atom
E_form (uncorrected) = -3.036 eV per atom
calculated volume = 18.0 A^3/atom

PRh2O: optimized geometry, PBE.

Lattice parameters (Å, degrees): 5.9544 5.9544 5.9544 129.06 129.06 74.92
Closest atoms and distances in Å follow each position.
Atoms (fractional coordinates):
P  0.0000  0.0000  0.0000  4 Rh 2.21
P  0.7500  0.2500  0.5000  4 Rh 2.21
Rh  0.1420  0.6250  0.0170  2 O 2.11, 2 P 2.21
Rh  0.3750  0.3920  0.5170  2 O 2.11, 2 P 2.21
Rh  0.6080  0.1250  0.9830  2 O 2.11, 2 P 2.21
Rh  0.8750  0.8580  0.4830  2 O 2.11, 2 P 2.21
O  0.2500  0.7500  0.5000  4 Rh 2.11
O  0.5000  0.5000  0.0000  4 Rh 2.11

Properties
space group = I-42d, No. 122
DOS at the Fermi energy = 0.8163 states/eV/atom
final energy = -6.5818 eV/atom
E_form (uncorrected) = -0.314 eV per atom
calculated volume = 15.5 A^3/atom

BaCoRe2: optimized geometry, PBE.

Lattice parameters (Å, degrees): 4.6164 4.6164 4.6164 60.00 60.00 60.00
Closest atoms and distances in Å follow each position.
Atoms (fractional coordinates):
Ba  0.0000  0.0000  0.0000  8 Re 2.83
Co  0.5000  0.5000  0.5000  8 Re 2.83
Re  0.2500  0.2500  0.2500  4 Ba 2.83, 4 Co 2.83
Re  0.7500  0.7500  0.7500  4 Ba 2.83, 4 Co 2.83

Properties
space group = Fm-3m, No. 225
DOS at the Fermi energy = 2.1707 states/eV/atom
final energy = -6.7109 eV/atom
formation energy = 7.08 eV/f.u.
calculated volume = 17.4 A^3/atom

TaCoRh2: optimized geometry, PBE.

Lattice parameters (Å, degrees): 4.6620 4.6620 4.6797 100.28 100.28 35.02
Closest atoms and distances in Å follow each position.
Atoms (fractional coordinates):
Ta  0.0000  0.0000  0.0000  6 Rh 2.70-2.75, 4 Co 2.73, 2 Ta 2.81
Co  0.5000  0.5000  0.5000  6 Rh 2.66-2.70, 4 Ta 2.73, 2 Co 2.81
Rh  0.2459  0.2459  0.7375  6 Rh 2.64-2.82, 3 Co 2.66-2.70, 3 Ta 2.70-2.75
Rh  0.7541  0.7541  0.2625  6 Rh 2.64-2.82, 3 Co 2.66-2.70, 3 Ta 2.70-2.75

Properties
space group = C2/m, No. 12
DOS at the Fermi energy = 0.9731 states/eV/atom
final energy = -8.6300 eV/atom
formation energy = -0.86 eV/f.u.
calculated volume = 14.3 A^3/atom

TePt2W: optimized geometry, PBE.

Lattice parameters (Å, degrees): 5.0433 5.0433 2.8322 90.00 90.00 90.00
Closest atoms and distances in Å follow each position.
Atoms (fractional coordinates):
Te  0.0000  0.0000  0.0000  2 Te 2.83, 8 Pt 2.89
Pt  0.0000  0.5000  0.5000  2 Pt 2.83, 4 W 2.89, 4 Te 2.89
Pt  0.5000  0.0000  0.5000  2 Pt 2.83, 4 W 2.89, 4 Te 2.89
W  0.5000  0.5000  0.0000  2 W 2.83, 8 Pt 2.89

Properties
space group = P4/mmm, No. 123
DOS at the Fermi energy = 0.8578 states/eV/atom
final energy = -6.6757 eV/atom
E_form (uncorrected) = 0.368 eV per atom
calculated volume = 18.0 A^3/atom

Ti4VZn5: optimized geometry, PBE.

Lattice parameters (Å, degrees): 3.1874 3.1874 14.9965 90.00 90.00 90.00
Closest atoms and distances in Å follow each position.
Atoms (fractional coordinates):
Ti  0.0000  0.0000  0.1026  8 Zn 2.73
Ti  0.0000  0.0000  0.3075  8 Zn 2.71-2.73, 1 V 2.89
Ti  0.0000  0.0000  0.6925  8 Zn 2.71-2.73, 1 V 2.89
Ti  0.0000  0.0000  0.8974  8 Zn 2.73
V  0.0000  0.0000  0.5000  8 Zn 2.64, 2 Ti 2.89
Zn  0.5000  0.5000  0.0000  8 Ti 2.73
Zn  0.5000  0.5000  0.2053  8 Ti 2.73, 1 Zn 3.04
Zn  0.5000  0.5000  0.4079  4 V 2.64, 4 Ti 2.71, 1 Zn 2.76
Zn  0.5000  0.5000  0.5921  4 V 2.64, 4 Ti 2.71, 1 Zn 2.76
Zn  0.5000  0.5000  0.7947  8 Ti 2.73, 1 Zn 3.04

Properties
space group = P4/mmm, No. 123
DOS at the Fermi energy = 0.5303 states/eV/atom
final energy = -4.8156 eV/atom
formation energy = -1.09 eV/f.u.
calculated volume = 15.2 A^3/atom

SrBeAg3: optimized geometry, PBE.

Lattice parameters (Å, degrees): 5.8847 5.8847 5.8847 90.00 90.00 90.00
Closest atoms and distances in Å follow each position.
Atoms (fractional coordinates):
Sr  0.0000  0.0000  0.0000  6 Ag 2.94
Be  0.5000  0.5000  0.5000  12 Ag 4.16
Ag  0.0000  0.0000  0.5000  2 Sr 2.94
Ag  0.0000  0.5000  0.0000  2 Sr 2.94
Ag  0.5000  0.0000  0.0000  2 Sr 2.94

Properties
space group = Pm-3m, No. 221
DOS at the Fermi energy = 1.1506 states/eV/atom
final energy = -1.3607 eV/atom
formation energy = 7.16 eV/f.u.
calculated volume = 40.8 A^3/atom

CsCd2BF: optimized geometry, PBE.

Lattice parameters (Å, degrees): 4.3925 4.3925 7.9587 90.00 90.00 90.00
Closest atoms and distances in Å follow each position.
Atoms (fractional coordinates):
Cs  0.0000  0.0000  0.0000  4 F 3.11
Cd  0.0000  0.5000  0.5000  2 B 2.20
Cd  0.5000  0.0000  0.5000  2 B 2.20
B  0.0000  0.0000  0.5000  4 Cd 2.20
F  0.5000  0.5000  0.0000  4 Cs 3.11

Properties
space group = P4/mmm, No. 123
DOS at the Fermi energy = 0.2955 states/eV/atom
final energy = -2.6995 eV/atom
E_form (uncorrected) = -0.453 eV per atom
calculated volume = 30.7 A^3/atom

Li2CaGa2Pd2: optimized geometry, PBE.

Lattice parameters (Å, degrees): 4.4264 4.4264 8.0044 104.13 104.13 59.71
Closest atoms and distances in Å follow each position.
Atoms (fractional coordinates):
Li  0.0757  0.0757  0.2133  3 Pd 2.55-2.56, 3 Ga 2.67-2.70
Li  0.9243  0.9243  0.7867  3 Pd 2.55-2.56, 3 Ga 2.67-2.70
Ca  0.5000  0.5000  0.5000  2 Ga 3.05, 6 Pd 3.29-3.33, 4 Li 3.35
Ga  0.3733  0.3733  0.1032  4 Pd 2.53-2.76, 3 Li 2.67-2.70
Ga  0.6267  0.6267  0.8968  4 Pd 2.53-2.76, 3 Li 2.67-2.70
Pd  0.2527  0.2527  0.7750  4 Ga 2.53-2.76, 3 Li 2.55-2.56
Pd  0.7473  0.7473  0.2250  4 Ga 2.53-2.76, 3 Li 2.55-2.56

Properties
space group = C2/m, No. 12
DOS at the Fermi energy = 0.5785 states/eV/atom
final energy = -3.6763 eV/atom
formation energy = -3.47 eV/f.u.
calculated volume = 18.6 A^3/atom

TiGaCu: optimized geometry, PBE.

Lattice parameters (Å, degrees): 3.8810 3.9500 6.0161 90.00 108.75 90.00
Closest atoms and distances in Å follow each position.
Atoms (fractional coordinates):
Ti  0.2485  0.2500  0.4974  4 Ga 2.73-2.78, 4 Ti 2.77, 4 Cu 2.78
Ti  0.7515  0.7500  0.5026  4 Ga 2.73-2.78, 4 Ti 2.77, 4 Cu 2.78
Ga  0.4195  0.7500  0.8400  6 Cu 2.63-2.77, 2 Ga 2.69, 4 Ti 2.73-2.78
Ga  0.5805  0.2500  0.1600  6 Cu 2.63-2.77, 2 Ga 2.69, 4 Ti 2.73-2.78
Cu  0.0777  0.7500  0.1538  6 Ga 2.63-2.77, 2 Cu 2.64, 4 Ti 2.78
Cu  0.9223  0.2500  0.8462  6 Ga 2.63-2.77, 2 Cu 2.64, 4 Ti 2.78

Properties
space group = P2_1/m, No. 11
DOS at the Fermi energy = 0.7066 states/eV/atom
final energy = -5.2485 eV/atom
formation energy = -0.73 eV/f.u.
calculated volume = 14.6 A^3/atom